DFT (PBE) results for crystalline ReOs2Au at its relaxed geometry.

Unit cell a=2.7774 b=3.8929 c=5.6678 alpha=90.00 beta=90.00 gamma=90.00
With the nearest neighbours (Å) after each atom.
Element x y z (fractional)
Re1 0.5000 0.5000 0.2500  8 Os 2.72, 2 Re 2.78, 2 Au 2.83
Os1 0.0000 0.0000 0.4785  3 Os 2.59-2.78, 4 Re 2.72, 4 Au 2.84
Os2 0.0000 0.0000 0.0215  3 Os 2.59-2.78, 4 Re 2.72, 4 Au 2.84
Au1 0.5000 0.5000 0.7500  2 Au 2.78, 2 Re 2.83, 8 Os 2.84

Values from the calculation:
V (Å³ per cell): 61.3
DOS at the Fermi energy (states/eV per cell): 4.12
E_form (meV/atom): 386
Distance to the lowest polymorph of the same formula (eV/atom): 0.153
SG: Pmmm, No. 47